Computed, not measured: a relaxed structure of Dy2CoTe2S2O14 at the PBE+U level of DFT.

POSCAR file:
```
Dy2CoTe2S2O14
1.0
5.361 -0.046 -0.033
0.531 7.877 0.009
-2.430 -3.357 7.037
Dy Co Te S O
2 1 2 2 14
direct
0.092 0.253 0.981
0.908 0.747 0.019
0.000 0.000 0.500
0.523 0.269 0.659
0.477 0.731 0.341
0.778 0.243 0.245
0.222 0.757 0.755
0.946 0.395 0.259
0.054 0.605 0.741
0.860 0.218 0.423
0.140 0.782 0.577
0.499 0.287 0.207
0.501 0.713 0.793
0.814 0.069 0.080
0.186 0.931 0.920
0.758 0.433 0.897
0.242 0.567 0.103
0.277 0.196 0.748
0.723 0.804 0.252
0.750 0.073 0.668
0.250 0.927 0.332
```

Values from the calculation:
Its raw total energy is -6.565 eV/atom. For the density of states at the Fermi level, the calculation gives 0.000 states/eV per atom.